Entry 1:
Compound: Ac3La2YS6
Source: Alexandria via LeMat-Bulk
Functional: PBE
Structure: optimized geometry

* symmetry: C2/m (12)
* formation energy (no corrections): -2.051 eV per atom

Cell lengths 7.2485, 7.2485, 7.2910 Å; angles 99.59, 99.59, 120.08 degrees
With the nearest neighbours (Å) after each atom.
Positions (direct):
Ac 0.0000 0.0000 0.0000  6 S 3.01-3.09
Ac 0.3301 0.6699 0.0000  6 S 3.01-3.07
Ac 0.6699 0.3301 0.0000  6 S 3.01-3.07
La 0.1661 0.8339 0.5000  6 S 2.93-2.94
La 0.8339 0.1661 0.5000  6 S 2.93-2.94
Y 0.5000 0.5000 0.5000  6 S 2.82-2.84
S 0.1008 0.4233 0.2686  1 Y 2.82, 2 La 2.93, 3 Ac 3.01-3.07
S 0.2566 0.2566 0.7361  1 Y 2.84, 2 La 2.94, 3 Ac 3.02-3.09
S 0.4233 0.1008 0.2686  1 Y 2.82, 2 La 2.93, 3 Ac 3.01-3.07
S 0.5767 0.8992 0.7314  1 Y 2.82, 2 La 2.93, 3 Ac 3.01-3.07
S 0.7434 0.7434 0.2639  1 Y 2.84, 2 La 2.94, 3 Ac 3.02-3.09
S 0.8992 0.5767 0.7314  1 Y 2.82, 2 La 2.93, 3 Ac 3.01-3.07

=====

Entry 2:
Compound: PmSm2Cd5
Source: Alexandria via LeMat-Bulk
Functional: PBE
Structure: optimized geometry

* symmetry: I4/mmm (139)
* ΔH_f (0 K): -318 meV/atom

Cell lengths 5.2069, 5.2069, 15.3294 Å; angles 90.00, 90.00, 90.00 degrees
With the nearest neighbours (Å) after each atom.
Positions (direct):
Pm 0.0000 0.0000 0.0000  8 Cd 3.18
Pm 0.5000 0.5000 0.5000  8 Cd 3.18
Sm 0.0000 0.0000 0.2640  8 Cd 3.16-3.43
Sm 0.0000 0.0000 0.7360  8 Cd 3.16-3.43
Sm 0.5000 0.5000 0.2360  8 Cd 3.16-3.43
Sm 0.5000 0.5000 0.7640  8 Cd 3.16-3.43
Cd 0.0000 0.0000 0.5000  8 Cd 3.18
Cd 0.0000 0.5000 0.1187  4 Sm 3.16-3.43, 2 Cd 3.18, 2 Pm 3.18
Cd 0.0000 0.5000 0.3813  4 Sm 3.16-3.43, 2 Cd 3.18, 2 Pm 3.18
Cd 0.0000 0.5000 0.6187  4 Sm 3.16-3.43, 2 Cd 3.18, 2 Pm 3.18
Cd 0.0000 0.5000 0.8813  4 Sm 3.16-3.43, 2 Cd 3.18, 2 Pm 3.18
Cd 0.5000 0.0000 0.1187  4 Sm 3.16-3.43, 2 Cd 3.18, 2 Pm 3.18
Cd 0.5000 0.0000 0.3813  4 Sm 3.16-3.43, 2 Cd 3.18, 2 Pm 3.18
Cd 0.5000 0.0000 0.6187  4 Sm 3.16-3.43, 2 Cd 3.18, 2 Pm 3.18
Cd 0.5000 0.0000 0.8813  4 Sm 3.16-3.43, 2 Cd 3.18, 2 Pm 3.18
Cd 0.5000 0.5000 0.0000  8 Cd 3.18

=====

Entry 3:
Compound: Al2GePd8
Source: Alexandria via LeMat-Bulk
Functional: PBE
Structure: optimized geometry

* symmetry: C2/m (12)
* ΔH_f (0 K): -590 meV/atom

Cell lengths 7.3517, 7.3517, 6.0288 Å; angles 107.01, 107.01, 32.60 degrees
With the nearest neighbours (Å) after each atom.
Positions (direct):
Al 0.1926 0.1926 0.1818  9 Pd 2.46-2.69
Al 0.8074 0.8074 0.8182  9 Pd 2.46-2.69
Ge 0.5000 0.5000 0.5000  8 Pd 2.51-2.70
Pd 0.0284 0.0284 0.2728  1 Al 2.54, 2 Ge 2.58, 4 Pd 2.81-2.84
Pd 0.1834 0.1834 0.7675  3 Al 2.46-2.66
Pd 0.3306 0.3306 0.5528  3 Al 2.48-2.69, 1 Ge 2.51, 1 Pd 2.76
Pd 0.4025 0.4025 0.0382  2 Al 2.59, 1 Ge 2.70, 5 Pd 2.79-2.82
Pd 0.5975 0.5975 0.9618  2 Al 2.59, 1 Ge 2.70, 5 Pd 2.79-2.82
Pd 0.6694 0.6694 0.4472  3 Al 2.48-2.69, 1 Ge 2.51, 1 Pd 2.76
Pd 0.8166 0.8166 0.2325  3 Al 2.46-2.66
Pd 0.9716 0.9716 0.7272  1 Al 2.54, 2 Ge 2.58, 4 Pd 2.81-2.84